## TePPt2 (GGA-PBEsol)

Data for a relaxed structure of TePPt2.

a b c (Å): 3.759 3.759 17.468
angles (deg): 90.00 90.00 120.00
Fractional coordinates of all 12 atoms:
Te 0.000 0.000 0.000
Te 0.333 0.667 0.667
Te 0.667 0.333 0.333
P 0.000 0.000 0.500
P 0.333 0.667 0.167
P 0.667 0.333 0.833
Pt 0.000 0.000 0.230
Pt 0.000 0.000 0.770
Pt 0.333 0.667 0.437
Pt 0.333 0.667 0.897
Pt 0.667 0.333 0.103
Pt 0.667 0.333 0.563

## Properties
space group: R-3m (166)
formation energy from raw total energies: -0.24 eV/atom
excess energy over the best structure of this formula in the dataset: 52.5 meV/atom



## NiIrPt2 (GGA-PBEsol)

Data for a relaxed structure of NiIrPt2.

a b c (Å): 2.676 4.555 9.090
angles (deg): 90.00 90.00 90.00
Fractional coordinates of all 8 atoms:
Ni 0.000 0.000 0.000
Ni 0.500 0.500 0.500
Ir 0.000 0.500 0.269
Ir 0.500 0.000 0.769
Pt 0.000 0.000 0.509
Pt 0.000 0.500 0.741
Pt 0.500 0.000 0.241
Pt 0.500 0.500 0.009

## Properties
space group: Imm2 (44)
energy of formation: 0.43 eV per formula unit
excess energy over the best structure of this formula in the dataset: 108.8 meV/atom



## TlCN2O (GGA-PBEsol)

Data for a relaxed structure of TlCN2O.

a b c (Å): 4.343 4.343 4.204
angles (deg): 90.00 90.00 90.00
Fractional coordinates of all 5 atoms:
Tl 0.000 0.000 0.000
C 0.500 0.500 0.500
N 0.000 0.500 0.000
N 0.500 0.000 0.000
O 0.000 0.000 0.500

## Properties
space group: P4/mmm (123)
formation energy from raw total energies: 3.15 eV/atom



## Ti3IrPd (GGA-PBEsol)

Data for a relaxed structure of Ti3IrPd.

a b c (Å): 4.645 4.645 4.645
angles (deg): 90.00 90.00 90.00
Fractional coordinates of all 5 atoms:
Ti 0.000 0.000 0.500
Ti 0.000 0.500 0.000
Ti 0.500 0.000 0.000
Ir 0.000 0.000 0.000
Pd 0.500 0.500 0.500

## Properties
space group: Pm-3m (221)
energy of formation: 1.94 eV per formula unit



## KZn2In2 (GGA-PBEsol)

Data for a relaxed structure of KZn2In2.

a b c (Å): 4.518 4.518 11.723
angles (deg): 90.00 90.00 90.00
Fractional coordinates of all 10 atoms:
K 0.000 0.000 0.000
K 0.500 0.500 0.500
Zn 0.000 0.000 0.394
Zn 0.000 0.000 0.606
Zn 0.500 0.500 0.106
Zn 0.500 0.500 0.894
In 0.000 0.500 0.250
In 0.000 0.500 0.750
In 0.500 0.000 0.250
In 0.500 0.000 0.750

## Properties
space group: I4/mmm (139)
energy of formation: -0.16 eV per formula unit
excess energy over the best structure of this formula in the dataset: 0.0 meV/atom



## La2GaGeAu (GGA-PBEsol)

Data for a relaxed structure of La2GaGeAu.

a b c (Å): 5.623 5.623 4.618
angles (deg): 90.00 90.00 90.00
Fractional coordinates of all 5 atoms:
La 0.000 0.500 0.000
La 0.500 0.000 0.000
Ga 0.000 0.000 0.000
Ge 0.500 0.500 0.500
Au 0.000 0.000 0.500

## Properties
space group: P4/mmm (123)
energy of formation: -0.38 eV per formula unit



Number 1: total energy -24.20 eV/f.u.. Number 2: total energy -29.47 eV/f.u.. Number 3: total energy -18.82 eV/f.u.. Number 4: total energy -38.81 eV/f.u.. Number 5: total energy -10.43 eV/f.u.. Number 6: total energy -23.27 eV/f.u..